Version a
A plane-wave DFT calculation with PBE-GGA was carried out for crystalline AcTm2Ir at its relaxed geometry.

The structure in POSCAR format:
```
AcTm2Ir
1.0
-2.1438 -2.5708 1.1128
2.5832 -1.2720 2.0377
-2.7760 5.2591 6.8021
Ac Ir Tm
1 1 2
Cartesian
-1.1683 0.7081 4.9763
0.2197 -1.9214 1.5752
-0.4818 0.9127 1.1805
-2.2942 4.3464 5.6216
```

Properties
The density comes out at 11.18 g/cm³. As for the space group: P4/mmm.

=====

Version b
A plane-wave DFT calculation with PBE-GGA was carried out for crystalline AcTm2Ir at its relaxed geometry.

The structure in POSCAR format:
```
AcTm2Ir
1.0
4.0374 0.0000 0.0000
2.0187 3.4965 0.0000
2.0187 1.1655 9.2050
Tm Ir Ac
2 1 1
Cartesian
2.0187 1.1655 1.4168
6.0561 3.4965 7.7882
0.0000 0.0000 0.0000
4.0374 2.3310 4.6025
```

Properties
The density comes out at 9.67 g/cm³. As for the space group: R-3m.

=====

Version c
A plane-wave DFT calculation with PBE-GGA was carried out for crystalline AcTm2Ir at its relaxed geometry.

The structure in POSCAR format:
```
AcTm2Ir
1.0
4.1159 0.0000 0.0000
2.0580 3.5645 0.0000
2.0580 1.1882 8.7927
Ac Ir Tm
1 1 2
Cartesian
4.1159 2.3763 4.3487
4.1159 2.3763 0.0147
2.0580 1.1882 1.3674
2.0580 1.1882 7.4583
```

Properties
The density comes out at 9.75 g/cm³. As for the space group: R3m.

=====

Stability, descending: version c, version a, version b

=====

Version a
A plane-wave DFT calculation with PBE-GGA was carried out for crystalline AcUIr2 at its relaxed geometry.

The structure in POSCAR format:
```
AcUIr2
1.0
4.4910 0.0000 0.0000
0.0000 6.1615 0.0000
0.0000 0.0000 7.1933
Ac U Ir
2 2 4
Cartesian
2.2455 5.2632 0.0000
0.0000 0.8983 3.5966
0.0000 2.2135 0.0000
2.2455 3.9480 3.5966
2.2455 2.1151 5.6936
2.2455 2.1151 1.4997
0.0000 4.0464 5.0963
0.0000 4.0464 2.0970
```

Properties
The density comes out at 14.17 g/cm³. As for the space group: Pmmn.

=====

Version b
A plane-wave DFT calculation with PBE-GGA was carried out for crystalline AcUIr2 at its relaxed geometry.

The structure in POSCAR format:
```
AcUIr2
1.0
-1.2073 -2.0726 -2.5397
3.2538 -1.0865 -0.6600
-0.8531 -5.5546 4.9387
U Ir Ac
1 2 1
Cartesian
1.0233 -1.5796 -1.5998
-0.6846 -4.4574 3.9631
-0.1685 -1.0972 0.9756
0.5967 -4.3569 0.8695
```

Properties
The density comes out at 15.45 g/cm³. As for the space group: P4/mmm.

=====

Version c
A plane-wave DFT calculation with PBE-GGA was carried out for crystalline AcUIr2 at its relaxed geometry.

The structure in POSCAR format:
```
AcUIr2
1.0
4.0704 0.0000 0.0000
2.0352 3.5251 0.0000
2.0352 1.1750 6.9029
U Ir Ac
1 2 1
Cartesian
0.0000 0.0000 0.0000
6.1056 3.5251 5.4732
2.0352 1.1750 1.4297
4.0704 2.3501 3.4514
```

Properties
The density comes out at 14.24 g/cm³. As for the space group: R-3m.

=====

Stability, descending: version c, version a, version b

=====

Version a
A plane-wave DFT calculation with PBE-GGA was carried out for crystalline Ac5YIr4 at its relaxed geometry.

The structure in POSCAR format:
```
Ac5YIr4
1.0
7.3241 0.0000 0.0000
0.0000 10.0969 0.0000
0.0000 0.0000 9.0550
Ac Y Ir
10 2 8
Cartesian
1.4921 0.0000 4.5275
5.4504 8.1255 6.7408
1.8737 7.0198 6.8418
1.8737 3.0771 2.2133
1.8737 3.0771 6.8418
5.8320 5.0485 0.0000
5.4504 8.1255 2.3142
1.8737 7.0198 2.2133
5.4504 1.9714 6.7408
5.4504 1.9714 2.3142
1.3625 0.0000 0.0000
5.9616 5.0485 4.5275
4.1740 5.0485 6.6738
3.1501 0.0000 2.1463
3.1501 0.0000 6.9087
7.3008 2.4705 0.0000
4.1740 5.0485 2.3812
0.0233 2.5780 4.5275
7.3008 7.6264 0.0000
0.0233 7.5189 4.5275
```

Properties
The density comes out at 9.88 g/cm³. As for the space group: Pmmn.

=====

Version b
A plane-wave DFT calculation with PBE-GGA was carried out for crystalline Ac5YIr4 at its relaxed geometry.

The structure in POSCAR format:
```
Ac5YIr4
1.0
-2.1236 1.7905 3.3361
4.4667 -4.6106 5.3179
5.9339 6.9209 -2.7617
Ac Ir Y
5 4 1
Cartesian
5.2439 3.1107 4.4930
3.0331 0.9901 1.3994
2.8417 5.4501 1.7083
5.4352 -1.3493 4.1840
1.1715 -1.4101 4.3270
1.0438 3.0521 1.8508
4.8901 7.5572 1.8813
3.3869 -3.4564 4.0110
7.2331 1.0487 4.0415
-1.0618 0.8952 1.6680
```

Properties
The density comes out at 10.21 g/cm³. As for the space group: C2/m.

=====

Stability, descending: version b, version a

=====

Version a
A plane-wave DFT calculation with PBE-GGA was carried out for crystalline Ac4ZnIr2 at its relaxed geometry.

The structure in POSCAR format:
```
Ac4ZnIr2
1.0
5.0441 0.0000 0.0000
2.5220 4.3683 0.0000
2.5220 1.4561 10.0020
Ac Ir Zn
4 2 1
Cartesian
2.5220 1.4561 3.8364
5.0441 2.9122 1.4817
5.0441 2.9122 8.5203
7.5661 4.3683 6.1656
2.5220 1.4561 7.3014
7.5661 4.3683 2.7007
0.0000 0.0000 0.0000
```

Properties
The density comes out at 10.23 g/cm³. As for the space group: R-3m.

=====

Version b
A plane-wave DFT calculation with PBE-GGA was carried out for crystalline Ac4ZnIr2 at its relaxed geometry.

The structure in POSCAR format:
```
Ac4ZnIr2
1.0
4.4099 0.0000 0.0000
0.0000 13.4428 0.0000
0.0000 0.0000 15.8967
Ir Ac Zn
8 16 4
Cartesian
1.1025 5.5550 14.3685
3.3074 1.1664 6.4201
1.1025 12.6445 1.8176
3.3074 7.5196 9.7660
1.1025 12.2764 9.4766
3.3074 7.8878 1.5282
3.3074 0.7982 14.0791
1.1025 5.9232 6.1307
1.1025 9.4343 10.5095
1.1025 5.5784 9.1098
1.1025 1.6302 8.4188
3.3074 11.8125 7.4779
1.1025 12.2998 14.7353
3.3074 1.1430 1.1614
3.3074 4.0084 5.3872
3.3074 5.0911 0.4704
3.3074 13.0048 11.3290
3.3074 10.7298 2.5612
3.3074 7.8644 6.7870
1.1025 7.1593 3.3807
1.1025 2.7129 13.3356
3.3074 6.2834 12.5161
1.1025 0.4380 4.5677
1.1025 8.3516 15.4263
3.3074 3.1976 10.6320
1.1025 3.5238 2.6837
3.3074 9.9190 13.2131
1.1025 10.2452 5.2647
```

Properties
The density comes out at 9.57 g/cm³. As for the space group: Pnma.

=====

Stability, descending: version b, version a

=====

Version a
A plane-wave DFT calculation with PBE-GGA was carried out for crystalline Ac2ZnIr at its relaxed geometry.

The structure in POSCAR format:
```
Ac2ZnIr
1.0
4.4000 0.0000 0.0000
2.2000 3.8105 0.0000
2.2000 1.2702 7.7404
Ir Ac Zn
1 2 1
Cartesian
4.4000 2.5403 0.0345
2.2000 1.2702 6.1423
2.2000 1.2702 1.5926
4.4000 2.5403 3.8412
```

Properties
The density comes out at 9.11 g/cm³. As for the space group: R3m.

=====

Version b
A plane-wave DFT calculation with PBE-GGA was carried out for crystalline Ac2ZnIr at its relaxed geometry.

The structure in POSCAR format:
```
Ac2ZnIr
1.0
5.3650 0.0000 0.0000
2.6825 4.6463 0.0000
2.6825 1.5488 4.3805
Ac Zn Ir
2 1 1
Cartesian
8.0475 4.6463 3.2854
2.6825 1.5488 1.0951
0.0000 0.0000 0.0000
5.3650 3.0975 2.1903
```

Properties
The density comes out at 10.82 g/cm³. As for the space group: Fm-3m.

=====

Version c
A plane-wave DFT calculation with PBE-GGA was carried out for crystalline Ac2ZnIr at its relaxed geometry.

The structure in POSCAR format:
```
Ac2ZnIr
1.0
-3.3652 -0.1218 -2.6789
-1.8348 -5.5905 2.5590
-3.6780 6.9220 4.3055
Zn Ac Ir
2 4 2
Cartesian
-2.3313 -0.6155 1.2286
-6.5467 1.8252 2.9570
-4.5642 1.7716 0.4691
-6.2935 5.0130 2.4940
-4.3138 -0.5619 3.7165
-2.5845 -3.8034 1.6916
-4.8199 -1.8731 0.9560
-4.0581 3.0827 3.2296
```

Properties
The density comes out at 10.28 g/cm³. As for the space group: P2_1/m.

=====

Version d
A plane-wave DFT calculation with PBE-GGA was carried out for crystalline Ac2ZnIr at its relaxed geometry.

The structure in POSCAR format:
```
Ac2ZnIr
1.0
-0.6058 -3.6676 2.2929
3.0252 -3.1493 -0.0784
5.3884 1.9317 8.6731
Ir Ac Zn
1 2 1
Cartesian
3.9039 -2.4426 5.4438
3.9972 -5.3692 4.9470
3.8106 0.4840 5.9406
0.0000 0.0000 0.0000
```

Properties
The density comes out at 7.10 g/cm³. As for the space group: R-3m.

=====

Stability, descending: version c, version a, version b, version d

=====

Version a
A plane-wave DFT calculation with PBE-GGA was carried out for crystalline AcZn4Ir at its relaxed geometry.

The structure in POSCAR format:
```
AcZn4Ir
1.0
4.1665 0.0000 0.0000
0.0000 7.3780 0.0000
0.0000 0.0000 7.9119
Zn Ir Ac
8 2 2
Cartesian
2.0832 2.0419 7.4218
2.0832 5.3360 0.4902
2.0832 5.3360 3.4658
0.0000 0.0000 0.0000
0.0000 0.0000 3.9560
2.0832 0.2896 1.9780
2.0832 7.0883 5.9339
2.0832 2.0419 4.4461
0.0000 5.8817 1.9780
0.0000 1.4963 5.9339
0.0000 2.8856 1.9780
0.0000 4.4924 5.9339
```

Properties
The density comes out at 9.30 g/cm³. As for the space group: Pmma.

=====

Version b
A plane-wave DFT calculation with PBE-GGA was carried out for crystalline AcZn4Ir at its relaxed geometry.

The structure in POSCAR format:
```
AcZn4Ir
1.0
5.3603 0.0000 0.0000
2.6801 4.6421 0.0000
2.6801 1.5474 4.3767
Ac Zn Ir
1 4 1
Cartesian
2.6801 1.5474 1.0942
3.9933 3.8840 2.7464
5.3603 1.5163 2.7464
5.3603 3.0948 0.5141
6.7273 3.8840 2.7464
0.0000 0.0000 0.0000
```

Properties
The density comes out at 10.38 g/cm³. As for the space group: F-43m.

=====

Stability, descending: version a, version b

=====

Version a
A plane-wave DFT calculation with PBE-GGA was carried out for crystalline Ac3ZnIr at its relaxed geometry.

The structure in POSCAR format:
```
Ac3ZnIr
1.0
5.8243 0.0000 0.0000
0.0000 5.8243 0.0000
0.0000 0.0000 5.8243
Ac Zn Ir
3 1 1
Cartesian
0.0000 2.9121 0.0000
2.9121 0.0000 0.0000
0.0000 0.0000 2.9121
2.9121 2.9121 2.9121
0.0000 0.0000 0.0000
```

Properties
The density comes out at 7.89 g/cm³. As for the space group: Pm-3m.

=====

Version b
A plane-wave DFT calculation with PBE-GGA was carried out for crystalline Ac3ZnIr at its relaxed geometry.

The structure in POSCAR format:
```
Ac3ZnIr
1.0
-1.7581 3.8785 1.0415
-7.3392 -4.5843 4.6826
8.5302 0.2189 13.5840
Ir Ac Zn
4 12 4
Cartesian
0.3117 1.5811 8.4775
6.3594 0.3157 14.1722
-6.9265 -0.8025 5.1359
-0.8788 -2.0680 10.8306
-0.5335 -2.6685 13.6497
-3.5631 -0.8484 10.9842
2.9961 0.3616 8.3239
6.2620 3.0776 12.9488
3.9795 -0.3547 12.6513
-0.0336 2.1816 5.6584
2.9260 -1.8382 16.3972
0.1406 0.7226 11.3857
-6.8290 -3.5645 6.3593
-3.4930 1.3513 2.9108
-0.7076 -1.2094 7.9224
-4.5465 -0.1321 6.6568
1.0066 0.2563 14.5839
-1.5736 -0.7432 4.7242
-4.3319 -3.0119 8.5168
3.7648 2.5251 10.7913
```

Properties
The density comes out at 9.01 g/cm³. As for the space group: Pnma.

=====

Version c
A plane-wave DFT calculation with PBE-GGA was carried out for crystalline Ac3ZnIr at its relaxed geometry.

The structure in POSCAR format:
```
Ac3ZnIr
1.0
-3.9383 3.4479 -5.0794
-2.9154 -9.3487 -4.0854
-6.1221 3.3285 7.0060
Ac Zn Ir
12 4 4
Cartesian
-5.3438 0.7655 -1.3664
-7.6246 -2.7032 3.3516
-5.3511 0.1309 -5.5103
-5.3851 -5.7899 -5.7167
-4.5033 -3.0399 -2.9110
-7.5907 3.2176 3.5579
-8.1745 -2.7068 -5.1800
-7.6319 -3.3378 -0.7923
-1.7515 0.5015 0.8008
-11.2243 -3.0738 -2.9596
-4.8012 0.1345 3.0212
-8.4724 0.4676 0.7522
-8.3088 -0.4210 -2.6223
-4.6669 -2.1513 0.4635
-6.8193 -6.2175 -2.4751
-6.1565 3.6451 0.3164
-3.7880 1.8014 -3.6456
-9.1878 -4.3738 1.4868
-5.2830 -2.8402 -5.7364
-7.6928 0.2679 3.5776
```

Properties
The density comes out at 8.89 g/cm³. As for the space group: P2_1/c.

=====

Stability, descending: version b, version c, version a

=====

Version a
A plane-wave DFT calculation with PBE-GGA was carried out for crystalline Ac8Zn2Ir at its relaxed geometry.

The structure in POSCAR format:
```
Ac8Zn2Ir
1.0
5.4943 0.0000 0.0000
0.0000 7.3681 0.5653
-2.7472 -2.4617 9.5215
Ac Zn Ir
8 2 1
Cartesian
0.0000 2.1518 8.1502
2.7472 3.5292 5.9685
2.7472 2.7546 1.9366
2.7472 6.3519 3.4504
0.0000 1.3771 4.1183
0.0000 5.6394 0.9485
0.0000 -1.4455 6.6364
2.7472 -0.7330 9.1383
0.0000 4.5686 4.0874
2.7472 0.3378 5.9994
2.7472 0.0000 0.0000
```

Properties
The density comes out at 9.04 g/cm³. As for the space group: C2/m.

=====

Version b
A plane-wave DFT calculation with PBE-GGA was carried out for crystalline Ac8Zn2Ir at its relaxed geometry.

The structure in POSCAR format:
```
Ac8Zn2Ir
1.0
4.0885 0.0000 -0.8685
-0.1469 10.0564 -0.6913
0.0315 -0.0254 10.2062
Ir Ac Zn
1 8 2
Cartesian
2.0443 0.0000 -0.4343
2.3597 5.2298 1.0505
3.9671 7.9548 8.6176
1.4463 -0.0003 6.8084
0.0061 2.0762 0.0288
0.8847 3.3523 4.1646
2.5269 10.0313 1.8380
1.6135 4.8011 7.5958
3.0885 6.6786 4.4817
3.4124 2.5337 6.0061
0.5608 7.4973 2.6402
```

Properties
The density comes out at 8.46 g/cm³. As for the space group: C2/m.

=====

Stability, descending: version b, version a